# Cu2PbW

Cu2PbW after structural relaxation (GGA-PBE, Alexandria). Values from VASP.

Calculated values
energy of formation	655.4	meV per atom
DFT total energy	-5.558	eV/atom
D(E_F)	2.0	states/eV/cell
space group	Cmmm, No. 65

Cell and atoms, written as Quantum ESPRESSO input:
```
&SYSTEM
  ibrav = 0, nat = 4, ntyp = 3
/
ATOMIC_SPECIES
Cu 63.55 Cu.upf
Pb 207.20 Pb.upf
W 183.84 W.upf
ATOMIC_POSITIONS crystal
Cu 0.000 0.000 0.000
Cu 0.500 0.500 0.000
Pb 0.500 0.000 0.500
W 0.000 0.500 0.500
CELL_PARAMETERS angstrom
4.867 0.021 -0.056
-1.640 4.583 -0.056
0.030 0.043 2.946
```